# 1
Here is a relaxed SrSm2Tm crystal from Alexandria. Energies are from PBE.

a b c (Å): 3.6940 3.6940 12.4340
angles (deg): 81.46 81.46 60.00
Element x y z (fractional)
Sr  0.5002  0.5002  0.4995
Sm  0.0761  0.0761  0.7717
Sm  0.2572  0.2572  0.2283
Tm  0.6665  0.6665  0.0006

Computed properties:
Energy above the most stable polymorph in this dataset: 0.000 eV per atom

# 2
Here is a relaxed SrSm2Tm crystal from Alexandria. Energies are from PBE.

a b c (Å): 3.6279 3.6279 13.0995
angles (deg): 82.04 82.04 60.00
Element x y z (fractional)
Sr  0.0000  0.0000  0.0000
Tm  0.5000  0.5000  0.5000
Sm  0.0939  0.0939  0.7184
Sm  0.9061  0.9061  0.2816

Computed properties:
Energy above the most stable polymorph in this dataset: 0.090 eV per atom

# 3
Here is a relaxed SrSm2Y crystal from Alexandria. Energies are from PBE.

a b c (Å): 3.6524 3.6524 13.1616
angles (deg): 82.02 82.02 60.00
Element x y z (fractional)
Y  0.5000  0.5000  0.5000
Sr  0.0000  0.0000  0.0000
Sm  0.0931  0.0931  0.7208
Sm  0.9069  0.9069  0.2792

Computed properties:
Energy above the most stable polymorph in this dataset: 0.092 eV per atom

# 4
Here is a relaxed SrSm2Y crystal from Alexandria. Energies are from PBE.

a b c (Å): 3.7168 3.7168 12.4950
angles (deg): 81.45 81.45 60.00
Element x y z (fractional)
Sr  0.5003  0.5003  0.4992
Sm  0.0771  0.0771  0.7688
Sm  0.2563  0.2563  0.2311
Y  0.6664  0.6664  0.0009

Computed properties:
Energy above the most stable polymorph in this dataset: 0.000 eV per atom

# 5
Here is a relaxed SrSm4Y crystal from Alexandria. Energies are from PBE.

a b c (Å): 6.8243 6.8243 6.8243
angles (deg): 60.00 60.00 60.00
Element x y z (fractional)
Y  0.0000  0.0000  0.0000
Sr  0.2500  0.2500  0.2500
Sm  0.6280  0.6280  0.1160
Sm  0.6280  0.1160  0.6280
Sm  0.6280  0.6280  0.6280
Sm  0.1160  0.6280  0.6280

# 6
Here is a relaxed SrSm6Y12 crystal from Alexandria. Energies are from PBE.

a b c (Å): 8.8577 9.5696 9.5696
angles (deg): 69.07 72.03 107.97
Element x y z (fractional)
Sr  0.0000  0.0000  0.0000
Sm  0.4256  0.4754  0.2106
Sm  0.0498  0.6860  0.5246
Sm  0.3639  0.7894  0.6860
Sm  0.5744  0.5246  0.7894
Sm  0.9502  0.3140  0.4754
Sm  0.6361  0.2106  0.3140
Y  0.5164  0.8396  0.2685
Y  0.6768  0.8919  0.8396
Y  0.7850  0.2685  0.8919
Y  0.4836  0.1604  0.7315
Y  0.3232  0.1081  0.1604
Y  0.2150  0.7315  0.1081
Y  0.2673  0.4300  0.6245
Y  0.1083  0.3755  0.0544
Y  0.1627  0.0544  0.5700
Y  0.7327  0.5700  0.3755
Y  0.8917  0.6245  0.9456
Y  0.8373  0.9456  0.4300

# 7
Here is a relaxed SrSm2Y crystal from Alexandria. Energies are from PBE.

a b c (Å): 4.1009 4.1009 9.1374
angles (deg): 90.00 90.00 90.00
Element x y z (fractional)
Y  0.5000  0.5000  0.0000
Sr  0.5000  0.5000  0.5000
Sm  0.0000  0.0000  0.7932
Sm  0.0000  0.0000  0.2068

Computed properties:
Energy above the most stable polymorph in this dataset: 0.030 eV per atom

# 8
Here is a relaxed SrSm12Y6 crystal from Alexandria. Energies are from PBE.

a b c (Å): 8.8705 8.8705 8.8705
angles (deg): 98.10 98.10 98.10
Element x y z (fractional)
Sr  0.0000  0.0000  0.0000
Sm  0.7599  0.2401  0.5000
Sm  0.3606  0.0841  0.3606
Sm  0.3606  0.3606  0.0841
Sm  0.9159  0.6394  0.6394
Sm  0.6394  0.6394  0.9159
Sm  0.6394  0.9159  0.6394
Sm  0.5000  0.7599  0.2401
Sm  0.2401  0.5000  0.7599
Sm  0.2401  0.7599  0.5000
Sm  0.5000  0.2401  0.7599
Sm  0.7599  0.5000  0.2401
Sm  0.0841  0.3606  0.3606
Y  0.8975  0.3486  0.8975
Y  0.8975  0.8975  0.3486
Y  0.3486  0.8975  0.8975
Y  0.1025  0.1025  0.6514
Y  0.1025  0.6514  0.1025
Y  0.6514  0.1025  0.1025

# 9
Here is a relaxed SrSm2Y crystal from Alexandria. Energies are from PBE.

a b c (Å): 5.2777 5.2564 5.2564
angles (deg): 90.00 90.00 90.00
Element x y z (fractional)
Y  0.5000  0.5000  0.5000
Sr  0.5000  0.0000  0.0000
Sm  0.0000  0.0000  0.5000
Sm  0.0000  0.5000  0.0000

Computed properties:
Energy above the most stable polymorph in this dataset: 0.076 eV per atom

# 10
Here is a relaxed SrSm2Zn crystal from Alexandria. Energies are from PBE.

a b c (Å): 3.7489 3.7489 9.4437
angles (deg): 90.00 90.00 90.00
Element x y z (fractional)
Sr  0.5000  0.5000  0.5000
Zn  0.5000  0.5000  0.0000
Sm  0.0000  0.0000  0.8214
Sm  0.0000  0.0000  0.1786

Computed properties:
Energy above the most stable polymorph in this dataset: 0.000 eV per atom

# 11
Here is a relaxed SrSm2Zn6 crystal from Alexandria. Energies are from PBE.

a b c (Å): 3.6761 7.9396 7.9399
angles (deg): 120.00 89.99 90.00
Element x y z (fractional)
Sr  0.0000  0.0000  0.0000
Sm  0.9998  0.3333  0.6665
Sm  0.0002  0.6667  0.3335
Zn  0.4999  0.3376  0.3376
Zn  0.5001  0.6624  0.6624
Zn  0.5001  0.0000  0.6624
Zn  0.5000  0.6623  0.0000
Zn  0.5000  0.3377  0.0000
Zn  0.4999  0.0000  0.3376

# 12
Here is a relaxed Sr2SmZn crystal from Alexandria. Energies are from PBE.

a b c (Å): 3.8359 3.8359 12.2877
angles (deg): 81.02 81.02 60.00
Element x y z (fractional)
Sr  0.1011  0.1011  0.6968
Sr  0.8989  0.8989  0.3032
Zn  0.5000  0.5000  0.5000
Sm  0.0000  0.0000  0.0000

Looking at energy of formation for the records above, in order, we have 0.114 0.204 0.198 0.106 0.226 0.051 0.136 0.200 0.181 -0.066 -0.296 0.263 eV per atom.
Looking at density for the records above, in order, we have 6.39 6.28 5.28 5.38 5.75 5.37 5.16 5.97 5.43 5.68 6.46 4.22 g/cm³.